Entry 1:
This record from Alexandria via LeMat-Bulk describes Ac2Tb3Pr2 after structural relaxation. The functional is PBE.

Computed properties:
D(E_F)   20.8 states/eV/cell
Theoretical density   7.857 Mg/m³
Formation enthalpy at 0 K   0.041 eV/atom
Magnetization   0.00 μB per cell

Unit cell a=6.4248 b=6.4588 c=12.9701 alpha=99.78 beta=99.71 gamma=99.36
Fractional positions:
Ac 0.0719 0.1494 0.1420
Ac 0.0754 0.1476 0.6449
Ac 0.9246 0.8524 0.3551
Ac 0.9281 0.8506 0.8580
Tb 0.2231 0.4333 0.9309
Tb 0.3611 0.7150 0.7149
Tb 0.5000 0.0000 0.0000
Tb 0.5000 0.0000 0.5000
Tb 0.6389 0.2850 0.2851
Tb 0.7769 0.5667 0.0691
Pr 0.2225 0.4318 0.4300
Pr 0.3605 0.7160 0.2111
Pr 0.6395 0.2840 0.7889
Pr 0.7775 0.5682 0.5700

Entry 2:
This record from Alexandria via LeMat-Bulk describes AcTb7Pr12 after structural relaxation. The functional is PBE.

Computed properties:
D(E_F)   28.6 states/eV/cell
Theoretical density   6.326 Mg/m³
Formation enthalpy at 0 K   0.621 eV/atom
Magnetization   0.00 μB per cell

Unit cell a=10.1098 b=10.1098 c=10.1098 alpha=109.47 beta=109.47 gamma=109.47
Fractional positions:
Ac 0.0000 0.0000 0.0000
Tb 0.0000 0.0000 0.5000
Tb 0.0000 0.5000 0.0000
Tb 0.0000 0.5000 0.5000
Tb 0.5000 0.0000 0.0000
Tb 0.5000 0.0000 0.5000
Tb 0.5000 0.5000 0.0000
Tb 0.5000 0.5000 0.5000
Pr 0.0544 0.7673 0.2871
Pr 0.2327 0.2871 0.5198
Pr 0.2327 0.7129 0.9456
Pr 0.2871 0.0544 0.7673
Pr 0.2871 0.5198 0.2327
Pr 0.4802 0.7673 0.7129
Pr 0.5198 0.2327 0.2871
Pr 0.7129 0.4802 0.7673
Pr 0.7129 0.9456 0.2327
Pr 0.7673 0.2871 0.0544
Pr 0.7673 0.7129 0.4802
Pr 0.9456 0.2327 0.7129

Entry 3:
This record from Alexandria via LeMat-Bulk describes Ac3TbPr8 after structural relaxation. The functional is PBE.

Computed properties:
D(E_F)   16.7 states/eV/cell
Theoretical density   6.935 Mg/m³
Formation enthalpy at 0 K   0.241 eV/atom
Magnetization   0.00 μB per cell

Unit cell a=9.3299 b=9.3299 c=9.3299 alpha=137.44 beta=118.12 gamma=77.99
Fractional positions:
Ac 0.0000 0.0000 0.0000
Ac 0.1305 0.6305 0.5000
Ac 0.8695 0.3695 0.5000
Tb 0.5000 0.5000 0.0000
Pr 0.1445 0.1534 0.7115
Pr 0.2407 0.7680 0.2113
Pr 0.4420 0.4330 0.2885
Pr 0.4434 0.2320 0.4727
Pr 0.5566 0.0293 0.7887
Pr 0.5580 0.8466 0.9910
Pr 0.7593 0.9707 0.5273
Pr 0.8555 0.5670 0.0090

Entry 4:
This record from Alexandria via LeMat-Bulk describes Ac2Tb6Pr5 after structural relaxation. The functional is PBE.

Computed properties:
D(E_F)   36.4 states/eV/cell
Theoretical density   7.514 Mg/m³
Formation enthalpy at 0 K   0.101 eV/atom
Magnetization   0.00 μB per cell

Unit cell a=12.0799 b=20.9127 c=3.6952 alpha=90.00 beta=90.00 gamma=90.00
Fractional positions:
Ac 0.1691 0.2239 0.0000
Ac 0.3309 0.7239 0.0000
Ac 0.6691 0.2761 0.0000
Ac 0.8309 0.7761 0.0000
Tb 0.0620 0.9270 0.0000
Tb 0.0691 0.6395 0.0000
Tb 0.1847 0.3796 0.5000
Tb 0.3153 0.8796 0.5000
Tb 0.4309 0.1395 0.0000
Tb 0.4380 0.4270 0.0000
Tb 0.5620 0.5730 0.0000
Tb 0.5691 0.8605 0.0000
Tb 0.6847 0.1204 0.5000
Tb 0.8153 0.6204 0.5000
Tb 0.9309 0.3605 0.0000
Tb 0.9380 0.0730 0.0000
Pr 0.0000 0.5000 0.5000
Pr 0.0901 0.7858 0.5000
Pr 0.2019 0.0547 0.5000
Pr 0.2981 0.5547 0.5000
Pr 0.4099 0.2858 0.5000
Pr 0.5000 0.0000 0.5000
Pr 0.5901 0.7142 0.5000
Pr 0.7019 0.4453 0.5000
Pr 0.7981 0.9453 0.5000
Pr 0.9099 0.2142 0.5000

Entry 5:
This record from Alexandria via LeMat-Bulk describes AcTb2Pr6 after structural relaxation. The functional is PBE.

Computed properties:
D(E_F)   12.3 states/eV/cell
Theoretical density   7.143 Mg/m³
Formation enthalpy at 0 K   0.051 eV/atom
Magnetization   0.00 μB per cell

Unit cell a=5.8556 b=5.8556 c=10.8665 alpha=90.00 beta=90.00 gamma=119.83
Fractional positions:
Ac 0.0000 0.0000 0.0000
Tb 0.3331 0.6669 0.5000
Tb 0.6669 0.3331 0.5000
Pr 0.0000 0.0000 0.3406
Pr 0.0000 0.0000 0.6594
Pr 0.3329 0.6671 0.1752
Pr 0.3329 0.6671 0.8248
Pr 0.6671 0.3329 0.1752
Pr 0.6671 0.3329 0.8248

Entry 6:
This record from Alexandria via LeMat-Bulk describes Ac6Tb5Pr after structural relaxation. The functional is PBE.

Computed properties:
D(E_F)   16.1 states/eV/cell
Theoretical density   8.299 Mg/m³
Formation enthalpy at 0 K   0.042 eV/atom
Magnetization   0.00 μB per cell

Unit cell a=10.0370 b=10.0370 c=10.0370 alpha=148.35 beta=118.47 gamma=70.85
Fractional positions:
Ac 0.0811 0.3328 0.7483
Ac 0.2465 0.0000 0.2465
Ac 0.4155 0.6672 0.7483
Ac 0.5845 0.3328 0.2517
Ac 0.7535 0.0000 0.7535
Ac 0.9189 0.6672 0.2517
Tb 0.0000 0.5000 0.5000
Tb 0.1680 0.1680 0.0000
Tb 0.3334 0.8334 0.5000
Tb 0.6666 0.1666 0.5000
Tb 0.8320 0.8320 0.0000
Pr 0.5000 0.5000 0.0000

Entry 7:
This record from Alexandria via LeMat-Bulk describes AcTb7Pr3 after structural relaxation. The functional is PBE.

Computed properties:
D(E_F)   16.3 states/eV/cell
Theoretical density   7.488 Mg/m³
Formation enthalpy at 0 K   0.212 eV/atom
Magnetization   0.00 μB per cell

Unit cell a=7.7654 b=7.7654 c=6.5866 alpha=93.75 beta=93.75 gamma=80.94
Fractional positions:
Ac 0.0000 0.0000 0.0000
Tb 0.0000 0.0000 0.5000
Tb 0.0745 0.4194 0.7594
Tb 0.2647 0.2647 0.2989
Tb 0.4194 0.0745 0.7594
Tb 0.5806 0.9255 0.2406
Tb 0.7353 0.7353 0.7011
Tb 0.9255 0.5806 0.2406
Pr 0.3232 0.6768 0.5000
Pr 0.5000 0.5000 0.0000
Pr 0.6768 0.3232 0.5000

Entry 8:
This record from Alexandria via LeMat-Bulk describes Ac6TbPr after structural relaxation. The functional is PBE.

Computed properties:
D(E_F)   13.3 states/eV/cell
Theoretical density   8.210 Mg/m³
Formation enthalpy at 0 K   0.026 eV/atom
Magnetization   0.00 μB per cell

Unit cell a=5.5166 b=5.5166 c=11.0452 alpha=90.00 beta=90.00 gamma=90.00
Fractional positions:
Ac 0.0000 0.0000 0.0000
Ac 0.0000 0.0000 0.5000
Ac 0.0000 0.5000 0.2481
Ac 0.0000 0.5000 0.7519
Ac 0.5000 0.0000 0.2481
Ac 0.5000 0.0000 0.7519
Tb 0.5000 0.5000 0.0000
Pr 0.5000 0.5000 0.5000

Entry 9:
This record from Alexandria via LeMat-Bulk describes AcTbPr4 after structural relaxation. The functional is PBE.

Computed properties:
D(E_F)   22.5 states/eV/cell
Theoretical density   6.106 Mg/m³
Formation enthalpy at 0 K   0.493 eV/atom
Magnetization   0.00 μB per cell

Unit cell a=7.0044 b=7.0044 c=11.9162 alpha=90.00 beta=90.00 gamma=62.05
Fractional positions:
Ac 0.0025 0.9975 0.7500
Ac 0.9975 0.0025 0.2500
Tb 0.4973 0.5027 0.2500
Tb 0.5027 0.4973 0.7500
Pr 0.0069 0.4940 0.7500
Pr 0.2601 0.7399 0.0003
Pr 0.2601 0.7399 0.4997
Pr 0.4940 0.0069 0.2500
Pr 0.5060 0.9931 0.7500
Pr 0.7399 0.2601 0.9997
Pr 0.7399 0.2601 0.5003
Pr 0.9931 0.5060 0.2500

Entry 10:
This record from Alexandria via LeMat-Bulk describes Ac6Tb2Pr5 after structural relaxation. The functional is PBE.

Computed properties:
D(E_F)   39.5 states/eV/cell
Theoretical density   7.571 Mg/m³
Formation enthalpy at 0 K   0.135 eV/atom
Magnetization   0.00 μB per cell

Unit cell a=11.4628 b=24.1552 c=3.7777 alpha=90.00 beta=90.00 gamma=90.00
Fractional positions:
Ac 0.0196 0.1128 0.0000
Ac 0.1460 0.3845 0.0000
Ac 0.1656 0.6345 0.5000
Ac 0.3344 0.1345 0.5000
Ac 0.3540 0.8845 0.0000
Ac 0.4804 0.6128 0.0000
Ac 0.5196 0.3872 0.0000
Ac 0.6460 0.1155 0.0000
Ac 0.6656 0.8655 0.5000
Ac 0.8344 0.3655 0.5000
Ac 0.8540 0.6155 0.0000
Ac 0.9804 0.8872 0.0000
Tb 0.1648 0.7669 0.0000
Tb 0.3352 0.2669 0.0000
Tb 0.6648 0.7331 0.0000
Tb 0.8352 0.2331 0.0000
Pr 0.0000 0.5000 0.5000
Pr 0.0854 0.2489 0.5000
Pr 0.1654 0.9965 0.5000
Pr 0.3346 0.4965 0.5000
Pr 0.4146 0.7489 0.5000
Pr 0.5000 0.0000 0.5000
Pr 0.5854 0.2511 0.5000
Pr 0.6654 0.5035 0.5000
Pr 0.8346 0.0035 0.5000
Pr 0.9146 0.7511 0.5000

Entry 11:
This record from Alexandria via LeMat-Bulk describes Ac3Tb6Pr2 after structural relaxation. The functional is PBE.

Computed properties:
D(E_F)   14.9 states/eV/cell
Theoretical density   7.628 Mg/m³
Formation enthalpy at 0 K   0.218 eV/atom
Magnetization   0.00 μB per cell

Unit cell a=6.4253 b=6.4253 c=11.8770 alpha=95.22 beta=95.22 gamma=120.09
Fractional positions:
Ac 0.0000 0.0000 0.0000
Ac 0.3349 0.6651 0.0000
Ac 0.6651 0.3349 0.0000
Tb 0.0869 0.4190 0.2567
Tb 0.2493 0.2493 0.7440
Tb 0.4190 0.0869 0.2567
Tb 0.5810 0.9131 0.7433
Tb 0.7507 0.7507 0.2560
Tb 0.9131 0.5810 0.7433
Pr 0.1662 0.8338 0.5000
Pr 0.8338 0.1662 0.5000

Entry 12:
This record from Alexandria via LeMat-Bulk describes AcTb4Pr3 after structural relaxation. The functional is PBE.

Computed properties:
D(E_F)   12.7 states/eV/cell
Theoretical density   7.560 Mg/m³
Formation enthalpy at 0 K   0.148 eV/atom
Magnetization   0.00 μB per cell

Unit cell a=9.1507 b=9.1507 c=9.1507 alpha=157.76 beta=99.02 gamma=85.27
Fractional positions:
Ac 0.0000 0.0000 0.0000
Tb 0.1173 0.8639 0.2534
Tb 0.3895 0.1361 0.2534
Tb 0.6105 0.8639 0.7466
Tb 0.8827 0.1361 0.7466
Pr 0.2426 0.7426 0.5000
Pr 0.5000 0.5000 0.0000
Pr 0.7574 0.2574 0.5000

Entry 13:
This record from Alexandria via LeMat-Bulk describes Ac5Tb6Pr2 after structural relaxation. The functional is PBE.

Computed properties:
D(E_F)   34.6 states/eV/cell
Theoretical density   7.982 Mg/m³
Formation enthalpy at 0 K   0.103 eV/atom
Magnetization   0.00 μB per cell

Unit cell a=12.0528 b=21.6908 c=3.7726 alpha=90.00 beta=90.00 gamma=90.00
Fractional positions:
Ac 0.0000 0.0000 0.0000
Ac 0.0472 0.2915 0.0000
Ac 0.1950 0.5736 0.0000
Ac 0.3050 0.0736 0.0000
Ac 0.4528 0.7915 0.0000
Ac 0.5000 0.5000 0.0000
Ac 0.5472 0.2085 0.0000
Ac 0.6950 0.9264 0.0000
Ac 0.8050 0.4264 0.0000
Ac 0.9528 0.7085 0.0000
Tb 0.0496 0.1447 0.5000
Tb 0.0797 0.4364 0.5000
Tb 0.1958 0.8758 0.0000
Tb 0.3042 0.3758 0.0000
Tb 0.4203 0.9364 0.5000
Tb 0.4504 0.6447 0.5000
Tb 0.5496 0.3553 0.5000
Tb 0.5797 0.0636 0.5000
Tb 0.6958 0.6242 0.0000
Tb 0.8042 0.1242 0.0000
Tb 0.9203 0.5636 0.5000
Tb 0.9504 0.8553 0.5000
Pr 0.2099 0.7349 0.5000
Pr 0.2901 0.2349 0.5000
Pr 0.7099 0.7651 0.5000
Pr 0.7901 0.2651 0.5000

Entry 14:
This record from Alexandria via LeMat-Bulk describes AcTb2Pr after structural relaxation. The functional is PBE.

Computed properties:
D(E_F)   12.5 states/eV/cell
Theoretical density   7.739 Mg/m³
Formation enthalpy at 0 K   0.149 eV/atom
Magnetization   0.00 μB per cell

Unit cell a=8.8365 b=3.6333 c=9.2562 alpha=90.00 beta=98.03 gamma=90.00
Fractional positions:
Ac 0.2234 0.0000 0.2446
Ac 0.7766 0.0000 0.7554
Tb 0.1473 0.5000 0.8792
Tb 0.3487 0.0000 0.6315
Tb 0.6513 0.0000 0.3685
Tb 0.8527 0.5000 0.1208
Pr 0.0000 0.5000 0.5000
Pr 0.5000 0.0000 0.0000

Entry 15:
This record from Alexandria via LeMat-Bulk describes AcTbPr2 after structural relaxation. The functional is PBE.

Computed properties:
D(E_F)   9.4 states/eV/cell
Theoretical density   7.429 Mg/m³
Formation enthalpy at 0 K   0.110 eV/atom
Magnetization   0.00 μB per cell

Unit cell a=4.3024 b=4.3024 c=8.0631 alpha=90.00 beta=90.00 gamma=90.00
Fractional positions:
Ac 0.0000 0.0000 0.0000
Tb 0.0000 0.0000 0.5000
Pr 0.5000 0.5000 0.2802
Pr 0.5000 0.5000 0.7198

Entry 16:
This record from Alexandria via LeMat-Bulk describes AcTbPr5 after structural relaxation. The functional is PBE.

Computed properties:
D(E_F)   20.7 states/eV/cell
Theoretical density   6.937 Mg/m³
Formation enthalpy at 0 K   0.084 eV/atom
Magnetization   0.00 μB per cell

Unit cell a=6.8277 b=6.8277 c=11.9330 alpha=102.38 beta=102.38 gamma=97.25
Fractional positions:
Ac 0.0000 0.5000 0.0000
Ac 0.5000 0.0000 0.5000
Tb 0.2427 0.7573 0.7500
Tb 0.7573 0.2427 0.2500
Pr 0.0538 0.1964 0.6686
Pr 0.1964 0.0538 0.1686
Pr 0.2240 0.4327 0.4655
Pr 0.4173 0.5827 0.2500
Pr 0.4327 0.2240 0.9655
Pr 0.5673 0.7760 0.0345
Pr 0.5827 0.4173 0.7500
Pr 0.7760 0.5673 0.5345
Pr 0.8036 0.9462 0.8314
Pr 0.9462 0.8036 0.3314

Entry 17:
This record from Alexandria via LeMat-Bulk describes AcTb5Pr12 after structural relaxation. The functional is PBE.

Computed properties:
D(E_F)   28.8 states/eV/cell
Theoretical density   7.052 Mg/m³
Formation enthalpy at 0 K   0.022 eV/atom
Magnetization   0.00 μB per cell

Unit cell a=11.0664 b=11.0664 c=5.2158 alpha=90.00 beta=90.00 gamma=90.08
Fractional positions:
Ac 0.0000 0.0000 0.0000
Tb 0.1703 0.8297 0.5000
Tb 0.3334 0.6666 0.0000
Tb 0.5000 0.5000 0.5000
Tb 0.6666 0.3334 0.0000
Tb 0.8297 0.1703 0.5000
Pr 0.0021 0.6644 0.0000
Pr 0.1698 0.1698 0.5000
Pr 0.1701 0.5022 0.5000
Pr 0.3363 0.3363 0.0000
Pr 0.3356 0.9979 0.0000
Pr 0.4978 0.8299 0.5000
Pr 0.5022 0.1701 0.5000
Pr 0.6644 0.0021 0.0000
Pr 0.6637 0.6637 0.0000
Pr 0.8299 0.4978 0.5000
Pr 0.8302 0.8302 0.5000
Pr 0.9979 0.3356 0.0000

Entry 18:
This record from Alexandria via LeMat-Bulk describes AcTb2Pr6 after structural relaxation. The functional is PBE.

Computed properties:
D(E_F)   14.3 states/eV/cell
Theoretical density   6.989 Mg/m³
Formation enthalpy at 0 K   0.064 eV/atom
Magnetization   0.00 μB per cell

Unit cell a=3.7122 b=3.7122 c=27.6805 alpha=90.00 beta=90.00 gamma=120.00
Fractional positions:
Ac 0.0000 0.0000 0.0000
Tb 0.3333 0.6667 0.3324
Tb 0.3333 0.6667 0.6676
Pr 0.0000 0.0000 0.2252
Pr 0.0000 0.0000 0.4347
Pr 0.0000 0.0000 0.5653
Pr 0.0000 0.0000 0.7748
Pr 0.3333 0.6667 0.1161
Pr 0.3333 0.6667 0.8839

Entry 19:
This record from Alexandria via LeMat-Bulk describes Ac7Tb2Pr2 after structural relaxation. The functional is PBE.

Computed properties:
D(E_F)   18.3 states/eV/cell
Theoretical density   7.928 Mg/m³
Formation enthalpy at 0 K   0.097 eV/atom
Magnetization   0.00 μB per cell

Unit cell a=7.0822 b=7.0822 c=9.3555 alpha=98.08 beta=98.08 gamma=93.49
Fractional positions:
Ac 0.0000 0.0000 0.0000
Ac 0.0830 0.4597 0.7965
Ac 0.1582 0.1582 0.4182
Ac 0.4597 0.0830 0.7965
Ac 0.5403 0.9170 0.2035
Ac 0.8418 0.8418 0.5818
Ac 0.9170 0.5403 0.2035
Tb 0.3284 0.6716 0.5000
Tb 0.6716 0.3284 0.5000
Pr 0.3914 0.3914 0.1511
Pr 0.6086 0.6086 0.8489